[1]
## MnCr2Ga2 (PBE)

Data for MnCr2Ga2 after structural relaxation.

a = 6.8671 Å, b = 6.8671 Å, c = 3.0193 Å
α = 90.00°, β = 90.00°, γ = 90.00°
Last column: nearest neighbours and their distance in Å.
Atoms (fractional coordinates):
Cr 0.8289 0.3289 0.5000  6 Ga 2.45-2.58
Cr 0.6711 0.8289 0.5000  6 Ga 2.45-2.58
Ga 0.8700 0.6300 0.0000  6 Cr 2.45-2.58, 1 Ga 2.52, 2 Mn 2.69
Ga 0.3700 0.8700 0.0000  6 Cr 2.45-2.58, 1 Ga 2.52, 2 Mn 2.69
Mn 0.0000 0.0000 0.0000  4 Ga 2.69, 8 Cr 2.96
Cr 0.3289 0.1711 0.5000  6 Ga 2.45-2.58
Ga 0.6300 0.1300 0.0000  6 Cr 2.45-2.58, 1 Ga 2.52, 2 Mn 2.69
Mn 0.5000 0.5000 0.0000  4 Ga 2.69, 8 Cr 2.96
Ga 0.1300 0.3700 0.0000  6 Cr 2.45-2.58, 1 Ga 2.52, 2 Mn 2.69
Cr 0.1711 0.6711 0.5000  6 Ga 2.45-2.58

Summary:
For the total magnetic moment, the calculation gives 0.133 μB per formula unit. The calculation puts the energy of formation at 161 meV/atom. The space group is P4/mbm, No. 127. The volume comes out at 142 Å³/cell.

=====

[2]
## Mn6CrGa2 (PBE)

Data for Mn6CrGa2 after structural relaxation.

a = 2.5729 Å, b = 7.4419 Å, c = 7.4419 Å
α = 56.15°, β = 110.25°, γ = 110.25°
Last column: nearest neighbours and their distance in Å.
Atoms (fractional coordinates):
Ga 0.9468 0.6910 0.6910  2 Ga 2.57, 10 Mn 2.58-2.64
Mn 0.4700 0.3402 0.6598  3 Mn 2.24-2.40, 1 Cr 2.46
Mn 0.7525 0.0273 0.6686  6 Mn 2.40-2.63, 1 Cr 2.41, 4 Ga 2.60-2.64
Mn 0.4700 0.6598 0.3402  3 Mn 2.24-2.40, 1 Cr 2.46
Mn 0.3613 0.9727 0.3314  6 Mn 2.40-2.63, 1 Cr 2.40, 4 Ga 2.60-2.64
Ga 0.1836 0.3090 0.3090  2 Ga 2.57, 10 Mn 2.58-2.64
Cr 0.7020 0.0001 0.0001  6 Mn 2.40-2.46, 2 Cr 2.57
Mn 0.7525 0.6686 0.0273  6 Mn 2.40-2.63, 1 Cr 2.41, 4 Ga 2.60-2.64
Mn 0.3613 0.3314 0.9727  6 Mn 2.40-2.63, 1 Cr 2.40, 4 Ga 2.60-2.64

Summary:
For the total magnetic moment, the calculation gives 3.704 μB per formula unit. The calculation puts the energy of formation at 101 meV/atom. The space group is Cmm2, No. 35. The volume comes out at 109 Å³/cell.

=====

[3]
## Mn3CrGa (PBE)

Data for Mn3CrGa after structural relaxation.

a = 4.2143 Å, b = 4.2143 Å, c = 4.2143 Å
α = 90.00°, β = 90.00°, γ = 90.00°
Last column: nearest neighbours and their distance in Å.
Atoms (fractional coordinates):
Mn 0.0000 0.0000 0.5000  2 Ga 2.11
Cr 0.5000 0.5000 0.5000  12 Mn 2.98
Mn 0.0000 0.5000 0.0000  2 Ga 2.11
Mn 0.5000 0.0000 0.0000  2 Ga 2.11
Ga 0.0000 0.0000 0.0000  6 Mn 2.11

Summary:
For the total magnetic moment, the calculation gives 0.006 μB per formula unit. The calculation puts the energy of formation at 1754 meV/atom. The excess energy over the best structure of this formula in the dataset comes out at 841 meV per atom. The space group is Pm-3m, No. 221. The volume comes out at 75 Å³/cell.

=====

[4]
## MnCr2Ga (PBE)

Data for MnCr2Ga after structural relaxation.

a = 6.5954 Å, b = 6.5954 Å, c = 5.2710 Å
α = 51.27°, β = 51.27°, γ = 90.00°
Last column: nearest neighbours and their distance in Å.
Atoms (fractional coordinates):
Cr 0.3750 0.4280 0.7500  2 Mn 2.19
Ga 0.7500 0.2500 0.5000  2 Mn 2.46, 4 Cr 2.66
Cr 0.1780 0.6250 0.2500  2 Mn 2.19
Cr 0.5720 0.1250 0.2500  2 Mn 2.19
Mn 0.2500 0.7500 0.5000  4 Cr 2.19
Ga 0.0000 0.0000 0.0000  2 Mn 2.46, 4 Cr 2.66
Mn 0.5000 0.5000 0.0000  4 Cr 2.19
Cr 0.8750 0.8220 0.7500  2 Mn 2.19

Summary:
For the total magnetic moment, the calculation gives 0.000 μB per formula unit. The calculation puts the energy of formation at 514 meV/atom. The space group is I-42d, No. 122. The volume comes out at 107 Å³/cell.

=====

[5]
## Mn3CrGa2 (PBE)

Data for Mn3CrGa2 after structural relaxation.

a = 5.0465 Å, b = 4.9284 Å, c = 7.2160 Å
α = 109.97°, β = 90.00°, γ = 90.00°
Last column: nearest neighbours and their distance in Å.
Atoms (fractional coordinates):
Cr 0.7500 0.4125 0.0000  4 Mn 2.39-2.54, 2 Ga 2.55, 2 Cr 2.67
Mn 0.2500 0.9262 0.3552  5 Ga 2.48-2.58, 1 Cr 2.54
Ga 0.2500 0.3785 0.2778  7 Mn 2.48-2.58, 1 Cr 2.55
Ga 0.2500 0.1007 0.7222  7 Mn 2.48-2.58, 1 Cr 2.55
Mn 0.0000 0.0000 0.0000  2 Cr 2.39, 2 Mn 2.52, 4 Ga 2.56
Mn 0.7500 0.4290 0.3552  5 Ga 2.48-2.58, 1 Cr 2.54
Mn 0.5000 0.0000 0.0000  2 Cr 2.39, 2 Mn 2.52, 4 Ga 2.56
Cr 0.2500 0.5875 0.0000  4 Mn 2.39-2.54, 2 Ga 2.55, 2 Cr 2.67
Mn 0.7500 0.0738 0.6448  5 Ga 2.48-2.58, 1 Cr 2.54
Mn 0.2500 0.5710 0.6448  5 Ga 2.48-2.58, 1 Cr 2.54
Ga 0.7500 0.8993 0.2778  7 Mn 2.48-2.58, 1 Cr 2.55
Ga 0.7500 0.6215 0.7222  7 Mn 2.48-2.58, 1 Cr 2.55

Summary:
For the total magnetic moment, the calculation gives 4.947 μB per formula unit. The calculation puts the energy of formation at 187 meV/atom. The space group is Cmcm, No. 63. The volume comes out at 169 Å³/cell.

=====

[6]
## MnCrGa (PBE)

Data for MnCrGa after structural relaxation.

a = 3.7902 Å, b = 3.7902 Å, c = 5.8962 Å
α = 90.00°, β = 90.00°, γ = 90.00°
Last column: nearest neighbours and their distance in Å.
Atoms (fractional coordinates):
Ga 0.0000 0.5000 0.8299  5 Mn 2.55-2.74, 4 Cr 2.72
Mn 0.5000 0.0000 0.7370  4 Cr 2.35, 1 Ga 2.55
Mn 0.0000 0.5000 0.2630  4 Cr 2.35, 1 Ga 2.55
Ga 0.5000 0.0000 0.1701  5 Mn 2.55-2.74, 4 Cr 2.72
Cr 0.0000 0.0000 0.5000  4 Mn 2.35
Cr 0.5000 0.5000 0.5000  4 Mn 2.35

Summary:
For the total magnetic moment, the calculation gives 0.381 μB per formula unit. The calculation puts the energy of formation at 152 meV/atom. The excess energy over the best structure of this formula in the dataset comes out at 233 meV per atom. The space group is P4/nmm, No. 129. The volume comes out at 85 Å³/cell.

=====

[7]
## MnCrGaMo (PBE)

Data for MnCrGaMo after structural relaxation.

a = 4.2162 Å, b = 4.2162 Å, c = 4.2162 Å
α = 60.00°, β = 60.00°, γ = 60.00°
Last column: nearest neighbours and their distance in Å.
Atoms (fractional coordinates):
Cr 0.0000 0.0000 0.0000  4 Mo 2.58, 4 Ga 2.58
Mo 0.7500 0.7500 0.7500  4 Mn 2.58, 4 Cr 2.58
Mn 0.5000 0.5000 0.5000  4 Ga 2.58, 4 Mo 2.58
Ga 0.2500 0.2500 0.2500  4 Cr 2.58, 4 Mn 2.58

Summary:
For the total magnetic moment, the calculation gives 2.003 μB per formula unit. The calculation puts the energy of formation at -6 meV/atom. The space group is F-43m, No. 216. The volume comes out at 53 Å³/cell.

=====

[8]
## Mn5Cr2GaMo2 (PBE)

Data for Mn5Cr2GaMo2 after structural relaxation.

a = 2.9314 Å, b = 9.3055 Å, c = 9.3055 Å
α = 90.00°, β = 90.00°, γ = 90.00°
Last column: nearest neighbours and their distance in Å.
Atoms (fractional coordinates):
Mo 0.0000 0.6778 0.1778  1 Cr 2.51, 6 Mn 2.76-2.79
Mn 0.5000 0.7055 0.4507  2 Cr 2.24, 2 Ga 2.45
Cr 0.0000 0.3683 0.1317  6 Mn 2.24-2.27, 1 Mo 2.51
Mn 0.5000 0.9507 0.2055  2 Cr 2.24, 2 Ga 2.45
Mo 0.0000 0.8222 0.6778  1 Cr 2.51, 6 Mn 2.76-2.79
Mn 0.5000 0.0000 0.5000  4 Cr 2.27
Cr 0.0000 0.1317 0.6317  6 Mn 2.24-2.27, 1 Mo 2.51
Ga 0.0000 0.0000 0.0000  8 Mn 2.45
Ga 0.0000 0.5000 0.5000  8 Mn 2.45
Mo 0.0000 0.3222 0.8222  1 Cr 2.51, 6 Mn 2.76-2.79
Mn 0.5000 0.4507 0.2945  2 Cr 2.24, 2 Ga 2.45
Mn 0.5000 0.2945 0.5493  2 Cr 2.24, 2 Ga 2.45
Cr 0.0000 0.8683 0.3683  6 Mn 2.24-2.27, 1 Mo 2.51
Cr 0.0000 0.6317 0.8683  6 Mn 2.24-2.27, 1 Mo 2.51
Mn 0.5000 0.7945 0.9507  2 Cr 2.24, 2 Ga 2.45
Mn 0.5000 0.0493 0.7945  2 Cr 2.24, 2 Ga 2.45
Mn 0.5000 0.5493 0.7055  2 Cr 2.24, 2 Ga 2.45
Mn 0.5000 0.5000 0.0000  4 Cr 2.27
Mn 0.5000 0.2055 0.0493  2 Cr 2.24, 2 Ga 2.45
Mo 0.0000 0.1778 0.3222  1 Cr 2.51, 6 Mn 2.76-2.79

Summary:
For the total magnetic moment, the calculation gives 0.007 μB per formula unit. The calculation puts the energy of formation at 276 meV/atom. The space group is P4/mbm, No. 127. The volume comes out at 254 Å³/cell.

=====

[9]
## MnCr2GaN (PBE)

Data for MnCr2GaN after structural relaxation.

a = 3.8493 Å, b = 3.8493 Å, c = 3.8516 Å
α = 90.00°, β = 90.00°, γ = 90.00°
Last column: nearest neighbours and their distance in Å.
Atoms (fractional coordinates):
Cr 0.5000 0.0000 0.0000  2 N 1.92
Mn 0.0000 0.0000 0.5000  2 N 1.93
N 0.0000 0.0000 0.0000  4 Cr 1.92, 2 Mn 1.93
Ga 0.5000 0.5000 0.5000  4 Mn 2.72, 8 Cr 2.72
Cr 0.0000 0.5000 0.0000  2 N 1.92

Summary:
For the total magnetic moment, the calculation gives 0.765 μB per formula unit. The uncorrected formation energy is -293.0 meV/atom. The space group is P4/mmm, No. 123. The volume comes out at 57 Å³/cell.

=====

[10]
## Mn6CrGa2N (PBE)

Data for Mn6CrGa2N after structural relaxation.

a = 4.0954 Å, b = 4.0954 Å, c = 8.0534 Å
α = 90.00°, β = 90.00°, γ = 90.00°
Last column: nearest neighbours and their distance in Å.
Atoms (fractional coordinates):
Cr 0.5000 0.5000 0.5000  6 Mn 2.05-2.21
Mn 0.5000 0.5000 0.7739  1 N 1.82
Mn 0.5000 0.0000 0.0000  2 N 2.05
Mn 0.5000 0.0000 0.5000  2 Cr 2.05
Mn 0.0000 0.5000 0.0000  2 N 2.05
N 0.5000 0.5000 0.0000  2 Mn 1.82
Ga 0.0000 0.0000 0.7442  12 Mn 2.84-2.91
Mn 0.5000 0.5000 0.2261  1 N 1.82
Mn 0.0000 0.5000 0.5000  2 Cr 2.05
Ga 0.0000 0.0000 0.2558  12 Mn 2.84-2.91

Summary:
For the total magnetic moment, the calculation gives 11.771 μB per formula unit. The uncorrected formation energy is 406.7 meV/atom. The space group is P4/mmm, No. 123. The volume comes out at 135 Å³/cell.

=====

[11]
## Mn5Nb2Cr2Ga (PBE)

Data for Mn5Nb2Cr2Ga after structural relaxation.

a = 2.8597 Å, b = 9.7093 Å, c = 9.7093 Å
α = 90.00°, β = 90.00°, γ = 90.00°
Last column: nearest neighbours and their distance in Å.
Atoms (fractional coordinates):
Nb 0.0000 0.8251 0.6749  1 Cr 2.62, 6 Mn 2.79-2.85, 2 Nb 2.86
Mn 0.5000 0.0485 0.7967  2 Cr 2.29, 2 Ga 2.48
Mn 0.5000 0.2033 0.0485  2 Cr 2.29, 2 Ga 2.48
Mn 0.5000 0.9515 0.2033  2 Cr 2.29, 2 Ga 2.48
Mn 0.5000 0.4515 0.2967  2 Cr 2.29, 2 Ga 2.48
Mn 0.5000 0.7967 0.9515  2 Cr 2.29, 2 Ga 2.48
Ga 0.0000 0.5000 0.5000  8 Mn 2.48
Cr 0.0000 0.8658 0.3658  6 Mn 2.29-2.33
Nb 0.0000 0.1749 0.3251  1 Cr 2.62, 6 Mn 2.79-2.85, 2 Nb 2.86
Mn 0.5000 0.2967 0.5485  2 Cr 2.29, 2 Ga 2.48
Nb 0.0000 0.3251 0.8251  1 Cr 2.62, 6 Mn 2.79-2.85, 2 Nb 2.86
Cr 0.0000 0.6342 0.8658  6 Mn 2.29-2.33
Cr 0.0000 0.1342 0.6342  6 Mn 2.29-2.33
Cr 0.0000 0.3658 0.1342  6 Mn 2.29-2.33
Mn 0.5000 0.5000 0.0000  4 Cr 2.33
Mn 0.5000 0.0000 0.5000  4 Cr 2.33
Mn 0.5000 0.5485 0.7033  2 Cr 2.29, 2 Ga 2.48
Mn 0.5000 0.7033 0.4515  2 Cr 2.29, 2 Ga 2.48
Nb 0.0000 0.6749 0.1749  1 Cr 2.62, 6 Mn 2.79-2.85, 2 Nb 2.86
Ga 0.0000 0.0000 0.0000  8 Mn 2.48

Summary:
For the total magnetic moment, the calculation gives 4.447 μB per formula unit. The calculation puts the energy of formation at 168 meV/atom. The space group is P4/mbm, No. 127. The volume comes out at 270 Å³/cell.

=====

[12]
## MnCrGaNi (PBE)

Data for MnCrGaNi after structural relaxation.

a = 4.1364 Å, b = 4.1364 Å, c = 4.1364 Å
α = 60.00°, β = 60.00°, γ = 60.00°
Last column: nearest neighbours and their distance in Å.
Atoms (fractional coordinates):
Mn 0.7500 0.7500 0.7500  4 Cr 2.53, 4 Ni 2.53
Ga 0.2500 0.2500 0.2500  4 Cr 2.53, 4 Ni 2.53
Ni 0.0000 0.0000 0.0000  4 Mn 2.53, 4 Ga 2.53
Cr 0.5000 0.5000 0.5000  4 Ga 2.53, 4 Mn 2.53

Summary:
For the total magnetic moment, the calculation gives 1.891 μB per formula unit. The calculation puts the energy of formation at -132 meV/atom. The space group is F-43m, No. 216. The volume comes out at 50 Å³/cell.

=====

Among the records above, which one has the highest total magnetic moment? Mn6CrGa2N